--- w ---
The following is a DFT calculation (GGA-PBE) of an optimized crystal structure of YMgTe2I. Values from VASP.

Results
Size of the total moment: 0.0 μB/f.u.
Density of states at the Fermi level: 2.50 states/eV/cell

Geometry as Quantum ESPRESSO input:
```
&SYSTEM
  ibrav = 0, nat = 5, ntyp = 4
/
ATOMIC_SPECIES
I 126.90 I.upf
Y 88.91 Y.upf
Mg 24.30 Mg.upf
Te 127.60 Te.upf
ATOMIC_POSITIONS crystal
I 0.000 0.000 0.500
Y 0.000 0.000 0.000
Mg 0.500 0.500 0.500
Te 0.000 0.500 0.000
Te 0.500 0.000 0.000
CELL_PARAMETERS angstrom
-5.325 1.282 -2.230
1.706 -2.077 -5.268
-1.916 -5.361 1.493
```

***

--- x ---
The following is a DFT calculation (GGA-PBE) of an optimized crystal structure of YMgTe2I. Values from VASP.

Results
Size of the total moment: 0.0 μB/f.u.
Density of states at the Fermi level: 1.30 states/eV/cell

Geometry as Quantum ESPRESSO input:
```
&SYSTEM
  ibrav = 0, nat = 5, ntyp = 4
/
ATOMIC_SPECIES
I 126.90 I.upf
Y 88.91 Y.upf
Mg 24.30 Mg.upf
Te 127.60 Te.upf
ATOMIC_POSITIONS crystal
I 0.000 0.000 0.500
Y 0.500 0.500 0.500
Mg 0.000 0.000 0.000
Te 0.000 0.500 0.000
Te 0.500 0.000 0.000
CELL_PARAMETERS angstrom
5.558 0.000 0.000
0.000 5.558 0.000
0.000 0.000 5.333
```

***

w (41 meV per atom below the next structure)

***

--- w ---
The following is a DFT calculation (GGA-PBE) of an optimized crystal structure of MgZrTeI2. Values from VASP.

Results
Size of the total moment: 0.0 μB/f.u.
Density of states at the Fermi level: 4.40 states/eV/cell

Geometry as Quantum ESPRESSO input:
```
&SYSTEM
  ibrav = 0, nat = 5, ntyp = 4
/
ATOMIC_SPECIES
I 126.90 I.upf
Mg 24.30 Mg.upf
Te 127.60 Te.upf
Zr 91.22 Zr.upf
ATOMIC_POSITIONS crystal
I 0.000 0.500 0.000
I 0.500 0.000 0.000
Mg 0.500 0.500 0.500
Te 0.000 0.000 0.500
Zr 0.000 0.000 0.000
CELL_PARAMETERS angstrom
-5.427 -0.130 -2.015
-1.160 -4.528 3.417
-1.607 3.507 4.101
```

***

--- x ---
The following is a DFT calculation (GGA-PBE) of an optimized crystal structure of MgZrTeI2. Values from VASP.

Results
Size of the total moment: 2.0 μB/f.u.
Density of states at the Fermi level: 5.52 states/eV/cell

Geometry as Quantum ESPRESSO input:
```
&SYSTEM
  ibrav = 0, nat = 5, ntyp = 4
/
ATOMIC_SPECIES
I 126.90 I.upf
Mg 24.30 Mg.upf
Te 127.60 Te.upf
Zr 91.22 Zr.upf
ATOMIC_POSITIONS crystal
I 0.000 0.500 0.000
I 0.500 0.000 0.000
Mg 0.000 0.000 0.000
Te 0.000 0.000 0.500
Zr 0.500 0.500 0.500
CELL_PARAMETERS angstrom
5.438 0.000 0.000
0.000 5.438 0.000
0.000 0.000 5.658
```

***

w (424 meV per atom below the next structure)

***

--- w ---
The following is a DFT calculation (GGA-PBE) of an optimized crystal structure of MgZrTe2I. Values from VASP.

Results
Size of the total moment: 1.3 μB/f.u.
Density of states at the Fermi level: 5.95 states/eV/cell

Geometry as Quantum ESPRESSO input:
```
&SYSTEM
  ibrav = 0, nat = 5, ntyp = 4
/
ATOMIC_SPECIES
I 126.90 I.upf
Mg 24.30 Mg.upf
Te 127.60 Te.upf
Zr 91.22 Zr.upf
ATOMIC_POSITIONS crystal
I 0.000 0.000 0.500
Mg 0.000 0.000 0.000
Te 0.000 0.500 0.000
Te 0.500 0.000 0.000
Zr 0.500 0.500 0.500
CELL_PARAMETERS angstrom
-1.809 1.255 -4.982
1.178 -5.039 -1.698
-4.938 -1.621 1.385
```

***

--- x ---
The following is a DFT calculation (GGA-PBE) of an optimized crystal structure of MgZrTe2I. Values from VASP.

Results
Size of the total moment: 0.0 μB/f.u.
Density of states at the Fermi level: 4.03 states/eV/cell

Geometry as Quantum ESPRESSO input:
```
&SYSTEM
  ibrav = 0, nat = 5, ntyp = 4
/
ATOMIC_SPECIES
I 126.90 I.upf
Mg 24.30 Mg.upf
Te 127.60 Te.upf
Zr 91.22 Zr.upf
ATOMIC_POSITIONS crystal
I 0.000 0.000 0.500
Mg 0.500 0.500 0.500
Te 0.000 0.500 0.000
Te 0.500 0.000 0.000
Zr 0.000 0.000 0.000
CELL_PARAMETERS angstrom
-1.670 -5.267 -1.103
4.667 -1.993 2.450
-2.743 -0.192 5.069
```

***

x (474 meV per atom below the next structure)

***

--- w ---
The following is a DFT calculation (GGA-PBE) of an optimized crystal structure of Mg2V2I. Values from VASP.

Results
Size of the total moment: 0.0 μB/f.u.
Density of states at the Fermi level: 10.03 states/eV/cell

Geometry as Quantum ESPRESSO input:
```
&SYSTEM
  ibrav = 0, nat = 10, ntyp = 3
/
ATOMIC_SPECIES
I 126.90 I.upf
Mg 24.30 Mg.upf
V 50.94 V.upf
ATOMIC_POSITIONS crystal
I 0.000 0.000 0.000
I 0.500 0.500 0.000
Mg 0.198 0.698 0.500
Mg 0.698 0.802 0.500
Mg 0.802 0.302 0.500
Mg 0.302 0.198 0.500
V 0.413 0.913 0.000
V 0.913 0.587 0.000
V 0.587 0.087 0.000
V 0.087 0.413 0.000
CELL_PARAMETERS angstrom
-4.211 4.442 4.718
-4.975 1.388 -5.748
-1.915 -2.847 0.970
```

***

--- x ---
The following is a DFT calculation (GGA-PBE) of an optimized crystal structure of Mg2V2I. Values from VASP.

Results
Size of the total moment: 1.6 μB/f.u.
Density of states at the Fermi level: 4.60 states/eV/cell

Geometry as Quantum ESPRESSO input:
```
&SYSTEM
  ibrav = 0, nat = 5, ntyp = 3
/
ATOMIC_SPECIES
I 126.90 I.upf
Mg 24.30 Mg.upf
V 50.94 V.upf
ATOMIC_POSITIONS crystal
I 0.000 0.000 0.000
Mg 0.750 0.250 0.500
Mg 0.250 0.750 0.500
V 0.425 0.425 0.149
V 0.575 0.575 0.851
CELL_PARAMETERS angstrom
-0.116 4.106 0.603
-3.262 -0.463 2.527
2.275 1.199 6.567
```

***

w (338 meV per atom below the next structure)

***

--- w ---
The following is a DFT calculation (GGA-PBE) of an optimized crystal structure of MgVI2. Values from VASP.

Results
Size of the total moment: 3.7 μB/f.u.
Density of states at the Fermi level: 5.16 states/eV/cell

Geometry as Quantum ESPRESSO input:
```
&SYSTEM
  ibrav = 0, nat = 4, ntyp = 3
/
ATOMIC_SPECIES
I 126.90 I.upf
Mg 24.30 Mg.upf
V 50.94 V.upf
ATOMIC_POSITIONS crystal
I 0.250 0.250 0.250
I 0.750 0.750 0.750
Mg 0.000 0.000 0.000
V 0.500 0.500 0.500
CELL_PARAMETERS angstrom
3.853 -3.572 -0.648
-1.152 -4.835 -1.821
1.500 -1.420 -4.874
```

***

--- x ---
The following is a DFT calculation (GGA-PBE) of an optimized crystal structure of MgVI2. Values from VASP.

Results
Size of the total moment: 3.1 μB/f.u.
Density of states at the Fermi level: 5.59 states/eV/cell

Geometry as Quantum ESPRESSO input:
```
&SYSTEM
  ibrav = 0, nat = 8, ntyp = 3
/
ATOMIC_SPECIES
I 126.90 I.upf
Mg 24.30 Mg.upf
V 50.94 V.upf
ATOMIC_POSITIONS crystal
I 0.773 0.125 0.250
I 0.977 0.625 0.250
I 0.375 0.227 0.750
I 0.875 0.023 0.750
Mg 0.500 0.500 0.000
Mg 0.250 0.750 0.500
V 0.000 0.000 0.000
V 0.750 0.250 0.500
CELL_PARAMETERS angstrom
-9.877 -0.319 0.502
0.346 -9.876 0.517
-4.625 -4.943 3.369
```

***

x (248 meV per atom below the next structure)

***

--- w ---
The following is a DFT calculation (GGA-PBE) of an optimized crystal structure of MgWI2. Values from VASP.

Results
Size of the total moment: 0.0 μB/f.u.
Density of states at the Fermi level: 2.89 states/eV/cell

Geometry as Quantum ESPRESSO input:
```
&SYSTEM
  ibrav = 0, nat = 4, ntyp = 3
/
ATOMIC_SPECIES
I 126.90 I.upf
Mg 24.30 Mg.upf
W 183.84 W.upf
ATOMIC_POSITIONS crystal
I 0.250 0.250 0.250
I 0.750 0.750 0.750
Mg 0.000 0.000 0.000
W 0.500 0.500 0.500
CELL_PARAMETERS angstrom
0.000 3.521 3.521
3.521 0.000 3.521
3.521 3.521 0.000
```

***

--- x ---
The following is a DFT calculation (GGA-PBE) of an optimized crystal structure of MgWI2. Values from VASP.

Results
Size of the total moment: 0.0 μB/f.u.
Density of states at the Fermi level: 5.91 states/eV/cell

Geometry as Quantum ESPRESSO input:
```
&SYSTEM
  ibrav = 0, nat = 8, ntyp = 3
/
ATOMIC_SPECIES
I 126.90 I.upf
Mg 24.30 Mg.upf
W 183.84 W.upf
ATOMIC_POSITIONS crystal
I 0.770 0.125 0.250
I 0.980 0.625 0.250
I 0.375 0.230 0.750
I 0.875 0.020 0.750
Mg 0.500 0.500 0.000
Mg 0.250 0.750 0.500
W 0.000 0.000 0.000
W 0.750 0.250 0.500
CELL_PARAMETERS angstrom
-6.955 -3.217 5.681
6.253 -5.668 4.446
0.196 -2.412 6.883
```

***

x (303 meV per atom below the next structure)

***

--- w ---
The following is a DFT calculation (GGA-PBE) of an optimized crystal structure of Y2MgI. Values from VASP.

Results
Size of the total moment: 0.0 μB/f.u.
Density of states at the Fermi level: 4.72 states/eV/cell

Geometry as Quantum ESPRESSO input:
```
&SYSTEM
  ibrav = 0, nat = 4, ntyp = 3
/
ATOMIC_SPECIES
I 126.90 I.upf
Y 88.91 Y.upf
Mg 24.30 Mg.upf
ATOMIC_POSITIONS crystal
I 0.500 0.500 0.500
Y 0.250 0.250 0.250
Y 0.750 0.750 0.750
Mg 0.000 0.000 0.000
CELL_PARAMETERS angstrom
0.000 3.860 3.860
3.860 0.000 3.860
3.860 3.860 0.000
```

***

--- x ---
The following is a DFT calculation (GGA-PBE) of an optimized crystal structure of Y2MgI. Values from VASP.

Results
Size of the total moment: 0.0 μB/f.u.
Density of states at the Fermi level: 6.00 states/eV/cell

Geometry as Quantum ESPRESSO input:
```
&SYSTEM
  ibrav = 0, nat = 4, ntyp = 3
/
ATOMIC_SPECIES
I 126.90 I.upf
Y 88.91 Y.upf
Mg 24.30 Mg.upf
ATOMIC_POSITIONS crystal
I 0.500 0.500 0.500
Y 0.095 0.095 0.716
Y 0.905 0.905 0.284
Mg 0.000 0.000 0.000
CELL_PARAMETERS angstrom
-2.411 -1.195 2.416
0.560 -3.134 1.715
5.027 4.166 9.783
```

***

w (130 meV per atom below the next structure)

***

--- w ---
The following is a DFT calculation (GGA-PBE) of an optimized crystal structure of YMgI3. Values from VASP.

Results
Size of the total moment: 1.4 μB/f.u.
Density of states at the Fermi level: 5.61 states/eV/cell

Geometry as Quantum ESPRESSO input:
```
&SYSTEM
  ibrav = 0, nat = 5, ntyp = 3
/
ATOMIC_SPECIES
I 126.90 I.upf
Y 88.91 Y.upf
Mg 24.30 Mg.upf
ATOMIC_POSITIONS crystal
I 0.000 0.500 0.000
I 0.000 0.000 0.500
I 0.500 0.000 0.000
Y 0.500 0.500 0.500
Mg 0.000 0.000 0.000
CELL_PARAMETERS angstrom
-1.189 -3.713 -4.083
4.798 -2.760 1.112
-2.728 -3.236 3.736
```

***

--- x ---
The following is a DFT calculation (GGA-PBE) of an optimized crystal structure of YMgI3. Values from VASP.

Results
Size of the total moment: 0.0 μB/f.u.
Density of states at the Fermi level: 2.14 states/eV/cell

Geometry as Quantum ESPRESSO input:
```
&SYSTEM
  ibrav = 0, nat = 5, ntyp = 3
/
ATOMIC_SPECIES
I 126.90 I.upf
Y 88.91 Y.upf
Mg 24.30 Mg.upf
ATOMIC_POSITIONS crystal
I 0.000 0.500 0.000
I 0.000 0.000 0.500
I 0.500 0.000 0.000
Y 0.000 0.000 0.000
Mg 0.500 0.500 0.500
CELL_PARAMETERS angstrom
6.051 0.000 0.000
0.000 6.051 0.000
0.000 0.000 6.051
```

***

x (382 meV per atom below the next structure)